Entry from Alexandria: an optimized crystal structure of ZnCu6Si (PBE).

Values from the calculation:
Offset from the most stable computed form (eV per formula unit): 0.000
Uncorrected formation energy (eV per formula unit): -0.38
Symmetry: No. 187
Calculated total energy (eV/cell): -31.656
D(E_F) (states/eV per cell): 4.56

a b c (Å): 4.192 5.180 5.180
angles (deg): 120.04 90.00 90.00
Positions (direct):
Cu1 0.000 0.086 0.418
Cu2 0.500 0.916 0.582
Cu3 0.500 0.418 0.084
Cu4 0.000 0.582 0.914
Cu5 0.500 0.916 0.084
Cu6 0.000 0.582 0.418
Zn1 0.000 0.083 0.917
Si1 0.500 0.417 0.583